PBE LaSc2P, optimized geometry; density = 3960 kg/m³; E_form = -2.14 eV per formula unit; V = 108.9 Å³/cell; total magnetic moment = 1.256 μB per cell; electronic total energy = -6.284 eV per atom
1.0
-2.549 1.990 -8.661
-1.907 -1.688 -8.887
-5.201 -0.438 -7.630
La Sc P
1 2 1
direct
0.522 0.522 0.522
0.978 0.978 0.978
0.742 0.742 0.742
0.259 0.259 0.259